Record 1
Li2LaTl2: PBEsol geometry, SCAN.

Values from the calculation:
The calculation puts the total DFT energy (no corrections) at -38.93 eV per atom. The calculation puts the density of states at the Fermi level at 3.23 states/eV/f.u. The space group is P4/mbm, No. 127. As for the calculated volume: 227.1 Å³ per cell. For the energy above the most stable polymorph in this dataset, the calculation gives 29.7 meV/atom.

The structure in POSCAR format:
```
Li2LaTl2
1.0
8.439 0.000 0.000
0.000 8.439 0.000
0.000 0.000 3.189
Li La Tl
4 2 4
direct
0.116 0.384 0.000
0.384 0.884 0.000
0.616 0.116 0.000
0.884 0.616 0.000
0.000 0.000 0.000
0.500 0.500 0.000
0.178 0.678 0.500
0.322 0.178 0.500
0.678 0.822 0.500
0.822 0.322 0.500
```

Record 2
Li2LaTl: PBEsol geometry, SCAN.

Values from the calculation:
The calculation puts the total DFT energy (no corrections) at -30.44 eV per atom. The calculation puts the density of states at the Fermi level at 1.12 states/eV/f.u. The space group is F-43m, No. 216. As for the calculated volume: 97.3 Å³ per cell. For the energy above the most stable polymorph in this dataset, the calculation gives 44.7 meV/atom.

The structure in POSCAR format:
```
Li2LaTl
1.0
0.000 3.651 3.651
3.651 0.000 3.651
3.651 3.651 0.000
Li La Tl
2 1 1
direct
0.000 0.000 0.000
0.250 0.250 0.250
0.750 0.750 0.750
0.500 0.500 0.500
```

Record 3
Li2LaTl2: PBEsol geometry, SCAN.

Values from the calculation:
The calculation puts the total DFT energy (no corrections) at -38.96 eV per atom. The calculation puts the density of states at the Fermi level at 2.97 states/eV/f.u. The space group is I4/mmm, No. 139. As for the calculated volume: 123.0 Å³ per cell. For the energy above the most stable polymorph in this dataset, the calculation gives 0.0 meV/atom.

The structure in POSCAR format:
```
Li2LaTl2
1.0
-2.126 2.126 6.805
2.126 -2.126 6.805
2.126 2.126 -6.805
Li La Tl
2 1 2
direct
0.250 0.750 0.500
0.750 0.250 0.500
0.000 0.000 0.000
0.386 0.386 0.000
0.614 0.614 0.000
```

Record 4
LiLa2Y: PBEsol geometry, SCAN.

Values from the calculation:
The calculation puts the total DFT energy (no corrections) at -29.05 eV per atom. The calculation puts the density of states at the Fermi level at 3.74 states/eV/f.u. The space group is R-3m, No. 166. As for the calculated volume: 124.1 Å³ per cell. For the energy above the most stable polymorph in this dataset, the calculation gives 2.1 meV/atom.

The structure in POSCAR format:
```
LiLa2Y
1.0
1.769 1.021 11.442
-1.769 1.021 11.442
0.000 -2.043 11.442
Li La Y
1 2 1
direct
0.000 0.000 0.000
0.251 0.251 0.251
0.749 0.749 0.749
0.500 0.500 0.500
```

Record 5
LiLa2Y: PBEsol geometry, SCAN.

Values from the calculation:
The calculation puts the total DFT energy (no corrections) at -29.02 eV per atom. The calculation puts the density of states at the Fermi level at 4.47 states/eV/f.u. The space group is R3m, No. 160. As for the calculated volume: 122.4 Å³ per cell. For the energy above the most stable polymorph in this dataset, the calculation gives 31.5 meV/atom.

The structure in POSCAR format:
```
LiLa2Y
1.0
1.766 1.020 11.327
-1.766 1.020 11.327
0.000 -2.039 11.327
Li La Y
1 2 1
direct
0.000 0.000 0.000
0.503 0.503 0.503
0.750 0.750 0.750
0.255 0.255 0.255
```

Record 6
LiLa2Y: PBEsol geometry, SCAN.

Values from the calculation:
The calculation puts the total DFT energy (no corrections) at -29.04 eV per atom. The calculation puts the density of states at the Fermi level at 4.86 states/eV/f.u. The space group is Imm2, No. 44. As for the calculated volume: 119.6 Å³ per cell. For the energy above the most stable polymorph in this dataset, the calculation gives 6.6 meV/atom.

The structure in POSCAR format:
```
LiLa2Y
1.0
-1.871 2.831 5.646
1.871 -2.831 5.646
1.871 2.831 -5.646
Li La Y
1 2 1
direct
0.000 0.000 0.000
0.496 0.496 0.000
0.766 0.266 0.500
0.223 0.723 0.500
```

Record 7
LiLa2Y: PBEsol geometry, SCAN.

Values from the calculation:
The calculation puts the total DFT energy (no corrections) at -29.05 eV per atom. The calculation puts the density of states at the Fermi level at 4.59 states/eV/f.u. The space group is P4mm, No. 99. As for the calculated volume: 118.6 Å³ per cell. For the energy above the most stable polymorph in this dataset, the calculation gives 0.0 meV/atom.

The structure in POSCAR format:
```
LiLa2Y
1.0
3.636 0.000 0.000
0.000 3.636 0.000
0.000 0.000 8.975
Li La Y
1 2 1
direct
0.000 0.000 0.000
0.000 0.000 0.484
0.500 0.500 0.762
0.500 0.500 0.214
```

Record 8
LiLa2Y: PBEsol geometry, SCAN.

Values from the calculation:
The calculation puts the total DFT energy (no corrections) at -29.04 eV per atom. The calculation puts the density of states at the Fermi level at 3.80 states/eV/f.u. The space group is Immm, No. 71. As for the calculated volume: 118.4 Å³ per cell. For the energy above the most stable polymorph in this dataset, the calculation gives 9.3 meV/atom.

The structure in POSCAR format:
```
LiLa2Y
1.0
-1.820 2.811 5.786
1.820 -2.811 5.786
1.820 2.811 -5.786
Li La Y
1 2 1
direct
0.000 0.000 0.000
0.224 0.724 0.500
0.776 0.276 0.500
0.500 0.500 0.000
```

Record 9
LiLa2Y: PBEsol geometry, SCAN.

Values from the calculation:
The calculation puts the total DFT energy (no corrections) at -28.99 eV per atom. The calculation puts the density of states at the Fermi level at 4.49 states/eV/f.u. The space group is P2/m, No. 10. As for the calculated volume: 119.1 Å³ per cell. For the energy above the most stable polymorph in this dataset, the calculation gives 63.6 meV/atom.

The structure in POSCAR format:
```
LiLa2Y
1.0
3.510 0.000 0.000
0.000 5.512 0.000
-1.235 0.000 6.156
Li La Y
1 2 1
direct
0.000 0.000 0.000
0.189 0.500 0.772
0.811 0.500 0.228
0.500 0.000 0.500
```

Record 10
LiLa2Y: PBEsol geometry, SCAN.

Values from the calculation:
The calculation puts the total DFT energy (no corrections) at -29.04 eV per atom. The calculation puts the density of states at the Fermi level at 5.45 states/eV/f.u. The space group is P4/mmm, No. 123. As for the calculated volume: 121.8 Å³ per cell. For the energy above the most stable polymorph in this dataset, the calculation gives 12.9 meV/atom.

The structure in POSCAR format:
```
LiLa2Y
1.0
3.530 0.000 0.000
0.000 3.530 0.000
0.000 0.000 9.772
Li La Y
1 2 1
direct
0.000 0.000 0.000
0.500 0.500 0.239
0.500 0.500 0.761
0.000 0.000 0.500
```

Record 11
Li2LaZn: PBEsol geometry, SCAN.

Values from the calculation:
The calculation puts the total DFT energy (no corrections) at -15.35 eV per atom. The calculation puts the density of states at the Fermi level at 3.06 states/eV/f.u. The space group is P4/mmm, No. 123. As for the calculated volume: 82.3 Å³ per cell.

The structure in POSCAR format:
```
Li2LaZn
1.0
3.317 0.000 0.000
0.000 3.317 0.000
0.000 0.000 7.485
Li La Zn
2 1 1
direct
0.000 0.000 0.179
0.000 0.000 0.821
0.500 0.500 0.500
0.500 0.500 0.000
```

Record 12
LiLa2Zn2: PBEsol geometry, SCAN.

Values from the calculation:
The calculation puts the total DFT energy (no corrections) at -23.36 eV per atom. The calculation puts the density of states at the Fermi level at 4.51 states/eV/f.u. The space group is P4/mbm, No. 127. As for the calculated volume: 243.9 Å³ per cell.

The structure in POSCAR format:
```
LiLa2Zn2
1.0
7.232 0.000 0.000
0.000 7.232 0.000
0.000 0.000 4.662
Li La Zn
2 4 4
direct
0.000 0.000 0.000
0.500 0.500 0.000
0.157 0.343 0.500
0.343 0.843 0.500
0.657 0.157 0.500
0.843 0.657 0.500
0.136 0.636 0.000
0.364 0.136 0.000
0.636 0.864 0.000
0.864 0.364 0.000
```

Record 13
LiLaZn: PBEsol geometry, SCAN.

Values from the calculation:
The calculation puts the total DFT energy (no corrections) at -19.79 eV per atom. The calculation puts the density of states at the Fermi level at 1.61 states/eV/f.u. The space group is I4mm, No. 107. As for the calculated volume: 67.6 Å³ per cell. For the energy above the most stable polymorph in this dataset, the calculation gives 66.7 meV/atom.

The structure in POSCAR format:
```
LiLaZn
1.0
-1.844 1.844 4.971
1.844 -1.844 4.971
1.844 1.844 -4.971
Li La Zn
1 1 1
direct
0.000 0.000 0.000
0.298 0.298 0.000
0.621 0.621 0.000
```

Record 14
Li2LaZn: PBEsol geometry, SCAN.

Values from the calculation:
The calculation puts the total DFT energy (no corrections) at -15.45 eV per atom. The calculation puts the density of states at the Fermi level at 2.52 states/eV/f.u. The space group is P4mm, No. 99. As for the calculated volume: 86.2 Å³ per cell.

The structure in POSCAR format:
```
Li2LaZn
1.0
3.363 0.000 0.000
0.000 3.363 0.000
0.000 0.000 7.621
Li La Zn
2 1 1
direct
0.000 0.000 0.000
0.500 0.500 0.211
0.500 0.500 0.655
0.000 0.000 0.384
```